Entry 1:
K4HfZr3Se8: optimized geometry, PBE.

Unit cell a=13.513 b=7.804 c=9.027 alpha=90.00 beta=119.97 gamma=90.00
Space group C2/m (No. 12)
One atom of each set of equivalent atoms:
K 0.000 0.000 0.000 x2
K 0.000 0.500 0.000 x2
K 0.250 0.250 0.000 x4
Hf 0.000 0.000 0.500 x2
Zr 0.000 0.500 0.500 x2
Zr 0.250 0.250 0.500 x4
Se 0.015 0.247 0.297 x8
Se 0.232 0.000 0.703 x4
Se 0.235 0.500 0.705 x4

## Properties
- Raw total energy: -89.1 eV per formula unit
- N(E_F): 6.73 states/eV/f.u.
- ΔE_f (raw): -1.325 eV/atom



Entry 2:
TmCu2Sb2: optimized geometry, PBE.

Unit cell a=4.311 b=22.035 c=4.290 alpha=90.00 beta=90.00 gamma=90.00
Space group Cmcm (No. 63)
One atom of each set of equivalent atoms:
Tm 0.000 0.139 0.250 x4
Cu 0.000 0.030 0.750 x4
Cu 0.000 0.469 0.750 x4
Sb 0.000 0.250 0.750 x4
Sb 0.000 0.398 0.250 x4

## Properties
- Raw total energy: -23.0 eV per formula unit
- N(E_F): 1.70 states/eV/f.u.
- ΔE_f (raw): -0.418 eV/atom



Entry 3:
Dy3BeI3: optimized geometry, PBE.

Unit cell a=12.014 b=12.014 c=12.014 alpha=90.00 beta=90.00 gamma=90.00
Space group I4_132 (No. 214)
One atom of each set of equivalent atoms:
Dy 0.103 0.353 0.125 x24
Be 0.125 0.125 0.125 x8
I 0.117 0.133 0.625 x24

## Properties
- Raw total energy: -27.6 eV per formula unit
- N(E_F): 4.86 states/eV/f.u.
- ΔE_f (raw): -0.779 eV/atom



Entry 4:
Ta2SbIr: optimized geometry, PBE.

Unit cell a=3.734 b=4.213 c=8.943 alpha=90.00 beta=90.00 gamma=90.00
Space group Immm (No. 71)
One atom of each set of equivalent atoms:
Ta 0.000 0.000 0.246 x4
Sb 0.000 0.500 0.000 x2
Ir 0.000 0.500 0.500 x2

## Properties
- Raw total energy: -37.3 eV per formula unit
- N(E_F): 2.14 states/eV/f.u.
- ΔE_f (raw): -0.156 eV/atom



Entry 5:
NdGaHIr: optimized geometry, PBE.

Unit cell a=4.211 b=4.211 c=7.474 alpha=90.00 beta=90.00 gamma=90.00
Space group P4/nmm (No. 129, origin choice 2)
One atom of each set of equivalent atoms:
Nd 0.250 0.250 0.165 x2
Ga 0.250 0.250 0.683 x2
H 0.250 0.750 0.000 x2
Ir 0.250 0.750 0.500 x2

## Properties
- Raw total energy: -22.7 eV per formula unit
- N(E_F): 1.38 states/eV/f.u.



Entry 6:
Rb2TmScS4: optimized geometry, PBE.

Unit cell a=6.840 b=3.953 c=7.972 alpha=90.00 beta=106.61 gamma=90.00
Space group P2/m (No. 10)
One atom of each set of equivalent atoms:
Rb 0.000 0.000 0.000 x1
Rb 0.500 0.500 0.000 x1
Tm 0.000 0.500 0.500 x1
Sc 0.500 0.000 0.500 x1
S 0.237 0.000 0.688 x2
S 0.280 0.500 0.315 x2

## Properties
- Raw total energy: -43.5 eV per formula unit
- N(E_F): 0.00 states/eV/f.u.
- ΔE_f (raw): -1.776 eV/atom